Here is a geometry-optimized YFeTc3 structure from Alexandria via LeMat-Bulk. Energies are from GGA-PBE.

Properties
Space group: Pm-3m
Final energy: -6.34 eV per atom
Theoretical density: 7.01 g/cm3

Cell lengths 4.7026, 4.7026, 4.7026 Å; angles 90.00, 90.00, 90.00 degrees
Atoms (fractional coordinates):
Y (0.0000, 0.0000, 0.0000)
Tc (0.0000, 0.5000, 0.0000)
Tc (0.0000, 0.0000, 0.5000)
Tc (0.5000, 0.0000, 0.0000)
Fe (0.5000, 0.5000, 0.5000)